Entry 1:
{"formula": "Y2SbSe", "functional": "SCAN", "state": "PBEsol geometry", "de_polymorph_ev_per_atom": 0.000, "spacegroup": "No. 166", "cell": [[-0.9687, 3.4753, -2.1183], [-3.5552, 0.1879, -2.1974], [-4.7565, 3.6455, 4.0244]], "species": ["Y", "Y", "Sb", "Se"], "frac_coords": [[0.7544, 0.7544, 0.7369], [0.2456, 0.2456, 0.2631], [0.0000, 0.0000, 0.0000], [0.5000, 0.5000, 0.5000]]}

***

Entry 2:
{"formula": "ZnSbSe2", "functional": "SCAN", "state": "PBEsol geometry", "de_polymorph_ev_per_atom": 0.522, "spacegroup": "No. 47", "cell": [[3.4041, 0.0000, 0.0000], [0.0000, 4.5748, 0.0000], [0.0000, 0.0000, 5.2743]], "species": ["Sb", "Se", "Se", "Zn"], "frac_coords": [[0.0000, 0.5000, 0.5000], [0.0000, 0.0000, 0.0000], [0.5000, 0.5000, 0.0000], [0.5000, 0.0000, 0.5000]]}

***

Entry 3:
{"formula": "Zn2SbSe", "functional": "SCAN", "state": "PBEsol geometry", "spacegroup": "No. 25", "dft_energy_ev_per_fu": -85.212, "cell": [[3.7352, 0.0000, 0.1360], [0.0000, 3.9759, 0.0000], [-0.2226, 0.0000, 6.2135]], "species": ["Sb", "Se", "Zn", "Zn"], "frac_coords": [[0.6247, 0.0000, 0.4236], [0.1253, 0.5000, 0.8538], [0.1250, 0.0000, 0.0978], [0.6250, 0.5000, 0.1248]]}

***

Entry 4:
{"formula": "ZnSbSe2", "functional": "SCAN", "state": "PBEsol geometry", "de_polymorph_ev_per_atom": 0.000, "spacegroup": "No. 166", "cell": [[-2.3246, 3.0739, 0.0173], [-3.8185, -0.4730, 0.2200], [-1.6868, 1.1017, 6.8468]], "species": ["Sb", "Se", "Se", "Zn"], "frac_coords": [[0.0000, 0.0000, 0.0000], [0.2394, 0.2394, 0.2818], [0.7606, 0.7606, 0.7182], [0.5000, 0.5000, 0.5000]]}

***

Entry 5:
{"formula": "ZnSbSe3", "functional": "SCAN", "state": "PBEsol geometry", "spacegroup": "No. 221", "dft_energy_ev_per_fu": -108.211, "cell": [[-4.4109, 2.5102, 1.2223], [-2.1055, -4.4916, 1.6260], [1.8335, 0.8809, 4.8077]], "species": ["Sb", "Zn", "Se", "Se", "Se"], "frac_coords": [[0.0000, 0.0000, 0.0000], [0.5000, 0.5000, 0.5000], [0.0000, 0.5000, 0.0000], [0.0000, 0.0000, 0.5000], [0.5000, 0.0000, 0.0000]]}

***

Entry 6:
{"formula": "ZrSbSe2", "functional": "SCAN", "state": "PBEsol geometry", "spacegroup": "No. 8", "dft_energy_ev_per_fu": -111.201, "cell": [[3.4840, 0.0000, 0.0000], [-1.7420, 4.8065, -0.0313], [0.0000, -1.5289, 5.7278]], "species": ["Sb", "Se", "Se", "Zr"], "frac_coords": [[0.8117, 0.6234, 0.2451], [0.0004, 0.0007, 0.9905], [0.1952, 0.3905, 0.6172], [0.4927, 0.9854, 0.6472]]}